1.
# ZnMoIr2 (PBE-GGA, optimized geometry)
# ΔH_f (0 K): 162 meV per atom
# Total energy: -7.295 eV/atom
data_ZnMoIr2
_chemical_formula_sum 'Zn2 Mo2 Ir4'
_space_group_name_H-M_alt 'C m m 2'
_space_group_IT_number 35
_space_group_name_Hall 'C 2 -2'
_cell_length_a 2.840
_cell_length_b 4.656
_cell_length_c 9.125
_cell_angle_alpha 90.00
_cell_angle_beta 90.00
_cell_angle_gamma 90.00
loop_
_atom_site_label
_atom_site_type_symbol
_atom_site_fract_x
_atom_site_fract_y
_atom_site_fract_z
Zn1 Zn 0.000 0.000 0.000
Mo1 Mo 0.000 0.500 0.258
Ir1 Ir 0.000 0.000 0.502
Ir2 Ir 0.000 0.500 0.763

---

2.
# ZnMo2Ir (PBE-GGA, optimized geometry)
# ΔH_f (0 K): 14 meV per atom
# Total energy: -7.935 eV/atom
data_ZnMo2Ir
_chemical_formula_sum 'Zn2 Mo4 Ir2'
_space_group_name_H-M_alt 'C 1 m 1'
_space_group_IT_number 8
_space_group_name_Hall 'C -2y'
_cell_length_a 9.083
_cell_length_b 2.745
_cell_length_c 4.901
_cell_angle_alpha 90.00
_cell_angle_beta 97.83
_cell_angle_gamma 90.00
loop_
_atom_site_label
_atom_site_type_symbol
_atom_site_fract_x
_atom_site_fract_y
_atom_site_fract_z
Zn1 Zn 0.000 0.000 0.000
Mo1 Mo 0.013 0.500 0.507
Mo2 Mo 0.253 0.500 0.242
Ir1 Ir 0.251 0.000 0.757

---

3.
# ZnMo2Ir (PBE-GGA, optimized geometry)
# ΔH_f (0 K): 540 meV per atom
# Total energy: -7.410 eV/atom
data_ZnMo2Ir
_chemical_formula_sum 'Zn4 Mo8 Ir4'
_space_group_name_H-M_alt 'I -4 2 d'
_space_group_IT_number 122
_space_group_name_Hall 'I -4 2bw'
_cell_length_a 7.221
_cell_length_b 7.221
_cell_length_c 5.144
_cell_angle_alpha 90.00
_cell_angle_beta 90.00
_cell_angle_gamma 90.00
loop_
_atom_site_label
_atom_site_type_symbol
_atom_site_fract_x
_atom_site_fract_y
_atom_site_fract_z
Zn1 Zn 0.000 0.000 0.000
Mo1 Mo 0.227 0.750 0.625
Ir1 Ir 0.000 0.000 0.500

---

4.
# ZnMo2Ir (PBE-GGA, optimized geometry)
# ΔH_f (0 K): 56 meV per atom
# Total energy: -7.893 eV/atom
data_ZnMo2Ir
_chemical_formula_sum 'Zn4 Mo8 Ir4'
_space_group_name_H-M_alt 'F -4 3 m'
_space_group_IT_number 216
_space_group_name_Hall 'F -4 2 3'
_cell_length_a 6.231
_cell_length_b 6.231
_cell_length_c 6.231
_cell_angle_alpha 90.00
_cell_angle_beta 90.00
_cell_angle_gamma 90.00
loop_
_atom_site_label
_atom_site_type_symbol
_atom_site_fract_x
_atom_site_fract_y
_atom_site_fract_z
Zn1 Zn 0.000 0.000 0.000
Mo1 Mo 0.000 0.000 0.500
Mo2 Mo 0.250 0.250 0.750
Ir1 Ir 0.250 0.250 0.250

---

5.
# ZnMoIr2 (PBE-GGA, optimized geometry)
# ΔH_f (0 K): -19 meV per atom
# Total energy: -7.476 eV/atom
data_ZnMoIr2
_chemical_formula_sum 'Zn1 Mo1 Ir2'
_space_group_name_H-M_alt 'P 4 m m'
_space_group_IT_number 99
_space_group_name_Hall 'P 4 -2'
_cell_length_a 2.755
_cell_length_b 2.755
_cell_length_c 7.760
_cell_angle_alpha 90.00
_cell_angle_beta 90.00
_cell_angle_gamma 90.00
loop_
_atom_site_label
_atom_site_type_symbol
_atom_site_fract_x
_atom_site_fract_y
_atom_site_fract_z
Zn1 Zn 0.000 0.000 0.000
Mo1 Mo 0.500 0.500 0.738
Ir1 Ir 0.000 0.000 0.487
Ir2 Ir 0.500 0.500 0.237

---

6.
# ZnMoIr3 (PBE-GGA, optimized geometry)
# Energy above the lowest structure with this stoichiometry: 0.0 kJ per mole of atoms
# ΔH_f (0 K): 1544 meV per atom
# Total energy: -6.194 eV/atom
data_ZnMoIr3
_chemical_formula_sum 'Zn1 Mo1 Ir3'
_space_group_name_H-M_alt 'P m -3 m'
_space_group_IT_number 221
_space_group_name_Hall '-P 4 2 3'
_cell_length_a 4.457
_cell_length_b 4.457
_cell_length_c 4.457
_cell_angle_alpha 90.00
_cell_angle_beta 90.00
_cell_angle_gamma 90.00
loop_
_atom_site_label
_atom_site_type_symbol
_atom_site_fract_x
_atom_site_fract_y
_atom_site_fract_z
Zn1 Zn 0.000 0.000 0.000
Mo1 Mo 0.500 0.500 0.500
Ir1 Ir 0.000 0.000 0.500

---

7.
# ZnMo2Ir (PBE-GGA, optimized geometry)
# ΔH_f (0 K): 90 meV per atom
# Total energy: -7.860 eV/atom
data_ZnMo2Ir
_chemical_formula_sum 'Zn2 Mo4 Ir2'
_space_group_name_H-M_alt 'I m m 2'
_space_group_IT_number 44
_space_group_name_Hall 'I 2 -2'
_cell_length_a 3.046
_cell_length_b 4.579
_cell_length_c 8.788
_cell_angle_alpha 90.00
_cell_angle_beta 90.00
_cell_angle_gamma 90.00
loop_
_atom_site_label
_atom_site_type_symbol
_atom_site_fract_x
_atom_site_fract_y
_atom_site_fract_z
Zn1 Zn 0.000 0.000 0.000
Mo1 Mo 0.000 0.000 0.505
Mo2 Mo 0.000 0.500 0.235
Ir1 Ir 0.000 0.500 0.751

---

8.
# ZnMo2Ir (PBE-GGA, optimized geometry)
# ΔH_f (0 K): -50 meV per atom
# Total energy: -7.999 eV/atom
data_ZnMo2Ir
_chemical_formula_sum 'Zn2 Mo4 Ir2'
_space_group_name_H-M_alt 'I m m m'
_space_group_IT_number 71
_space_group_name_Hall '-I 2 2'
_cell_length_a 3.258
_cell_length_b 4.144
_cell_length_c 8.844
_cell_angle_alpha 90.00
_cell_angle_beta 90.00
_cell_angle_gamma 90.00
loop_
_atom_site_label
_atom_site_type_symbol
_atom_site_fract_x
_atom_site_fract_y
_atom_site_fract_z
Zn1 Zn 0.000 0.000 0.000
Mo1 Mo 0.000 0.500 0.249
Ir1 Ir 0.000 0.000 0.500

---

Q: Number 3 is which compound?
A: ZnMo2Ir